Computed, not measured: an optimized crystal structure of TbPm2Sm3Y6 at the PBE level of DFT.

Its density of states at the Fermi level is 1.293 states/eV per atom. The value obtained for the total energy is -133.8 eV/cell. For the magnetization, the calculation gives 0.00 μB/f.u. The formation energy is 0.0131 eV/atom.

It has space group C2/m (No. 12), with a = 6.2398 Å, b = 10.8027 Å, c = 11.8670 Å, α = 90.00°, β = 100.05° and γ = 90.00°. The distinct sites, in fractional coordinates, are Tb at (0.0000, 0.0000, 0.0000), Pm at (0.0000, 0.3335, 0.0000), Sm at (0.0000, 0.1667, 0.5000), Sm at (0.0000, 0.5000, 0.5000), Y at (0.2496, 0.0000, 0.7499) and Y at (0.2497, 0.1665, 0.2498).